Record 1
DFT (PBE) results for crystalline Ge2Sb2As at its relaxed geometry.

Structure (POSCAR):
```
Ge2Sb2As
1.0
7.776 0.000 0.000
0.000 7.776 0.000
0.000 0.000 3.823
Ge Sb As
4 4 2
Cartesian
1.173 2.715 0.000
2.715 6.603 0.000
5.060 1.173 0.000
6.603 5.060 0.000
1.223 5.110 1.911
2.665 1.223 1.911
5.110 6.553 1.911
6.553 2.665 1.911
0.000 0.000 0.000
3.888 3.888 0.000
```

DOS at the Fermi energy = 6.961 states/eV per cell
space-group type = No. 127

---

Record 2
DFT (PBE) results for crystalline GeSbAs2 at its relaxed geometry.

Structure (POSCAR):
```
GeSbAs2
1.0
-3.406 3.406 4.644
3.406 -3.406 4.644
3.406 3.406 -4.644
Ge Sb As
2 2 4
Cartesian
0.000 0.000 0.000
0.000 3.406 2.322
3.406 0.000 2.322
0.000 0.000 4.644
5.110 1.487 -1.161
1.487 1.703 1.161
-1.703 1.919 3.483
1.919 1.703 5.805
```

DOS at the Fermi energy = 4.554 states/eV per cell
space-group type = No. 122
energy above the most stable polymorph in this dataset = 0.000 eV/atom

---

Number 1: E_tot -4.0491 eV/atom. Number 2: E_tot -4.2952 eV/atom.